Here is an optimized crystal structure of VP6W3O24 from Alexandria. Energies are from PBE+U.

Summary:
Space-group type = R3, No. 146
Calculated total energy = -7.476 eV per atom
ρ = 3.98 g cm⁻³
D(E_F) = 0.0 states/eV per cell

Geometry as CIF:
```
data_VP6W3O24
_cell_length_a 8.919
_cell_length_b 8.919
_cell_length_c 8.919
_cell_angle_alpha 58.88
_cell_angle_beta 58.88
_cell_angle_gamma 58.88
_symmetry_space_group_name_H-M 'P 1'
_symmetry_Int_Tables_number 1
loop_
_symmetry_equiv_pos_as_xyz
'x,y,z'
loop_
_atom_site_label
_atom_site_fract_x
_atom_site_fract_y
_atom_site_fract_z
V1 0.000 0.000 0.000
P1 0.108 0.389 0.823
P2 0.320 0.896 0.610
P3 0.389 0.823 0.108
P4 0.610 0.320 0.896
P5 0.823 0.108 0.389
P6 0.896 0.610 0.320
W1 0.216 0.216 0.216
W2 0.501 0.501 0.501
W3 0.715 0.715 0.715
O1 0.077 0.441 0.289
O2 0.098 0.215 0.847
O3 0.144 0.368 0.988
O4 0.156 0.902 0.786
O5 0.215 0.847 0.098
O6 0.269 0.439 0.640
O7 0.289 0.077 0.441
O8 0.358 0.734 0.558
O9 0.368 0.988 0.144
O10 0.439 0.640 0.269
O11 0.441 0.289 0.077
O12 0.499 0.869 0.625
O13 0.558 0.358 0.734
O14 0.563 0.806 0.930
O15 0.625 0.499 0.869
O16 0.640 0.269 0.439
O17 0.734 0.558 0.358
O18 0.786 0.156 0.902
O19 0.806 0.930 0.563
O20 0.847 0.098 0.215
O21 0.869 0.625 0.499
O22 0.902 0.786 0.156
O23 0.930 0.563 0.806
O24 0.988 0.144 0.368
```